*1*
The following is a DFT calculation (PBE-GGA) of an optimized crystal structure of Sm2Y2Tm.

Total magnetization: 0.000 μB per formula unit

Cell and atoms, written as CIF:
```
data_Sm2Y2Tm
_symmetry_space_group_name_H-M 'P 4/m b m'
_symmetry_Int_Tables_number 127
_symmetry_space_group_name_Hall '-P 4 2ab'
_cell_length_a 9.2605
_cell_length_b 9.2605
_cell_length_c 3.8084
_cell_angle_alpha 90.00
_cell_angle_beta 90.00
_cell_angle_gamma 90.00
loop_
_atom_site_label
_atom_site_type_symbol
_atom_site_fract_x
_atom_site_fract_y
_atom_site_fract_z
_atom_site_occupancy
Sm1 Sm 0.1309 0.3691 0.0000 1
Y1 Y 0.1688 0.6688 0.5000 1
Tm1 Tm 0.0000 0.0000 0.0000 1
```

---

*2*
The following is a DFT calculation (PBE-GGA) of an optimized crystal structure of Sm2Y2Tm.

Total magnetization: 0.000 μB per formula unit

Cell and atoms, written as CIF:
```
data_Sm2Y2Tm
_symmetry_space_group_name_H-M 'I m m a'
_symmetry_Int_Tables_number 74
_symmetry_space_group_name_Hall '-I 2b 2'
_cell_length_a 3.6382
_cell_length_b 5.7176
_cell_length_c 31.5531
_cell_angle_alpha 90.00
_cell_angle_beta 90.00
_cell_angle_gamma 90.00
loop_
_atom_site_label
_atom_site_type_symbol
_atom_site_fract_x
_atom_site_fract_y
_atom_site_fract_z
_atom_site_occupancy
Sm1 Sm 0.0000 0.2500 0.0214 1
Sm2 Sm 0.0000 0.2500 0.1199 1
Y1 Y 0.0000 0.2500 0.2921 1
Y2 Y 0.0000 0.2500 0.8063 1
Tm1 Tm 0.0000 0.2500 0.5796 1
```

---

Which of them is the most stable, and which is the least stable? *1* and *2*, in that order.